Here is a relaxed structure of Er2Hg from the Alexandria database. Energies are from PBE-GGA.

a = 5.1975 Å, b = 5.1975 Å, c = 6.8306 Å
α = 90.00°, β = 90.00°, γ = 119.94°
With the nearest neighbours (Å) after each atom.
Fractional coordinates of all 6 atoms:
1 Er 0.6665 0.8335 0.2500  3 Hg 3.00
2 Er 0.3335 0.1665 0.7500  3 Hg 3.00
3 Er 0.0000 0.5000 0.0000  8 Er 3.42-3.45, 6 Hg 3.45-3.46
4 Er 0.0000 0.5000 0.5000  8 Er 3.42-3.45, 6 Hg 3.45-3.46
5 Hg 0.6670 0.8330 0.7500  3 Er 3.00
6 Hg 0.3330 0.1670 0.2500  3 Er 3.00

SG = Cmcm (63)
ΔE_f = -316 meV per atom
DOS(E_F) = 0.50 states/eV/atom


Here is a relaxed structure of Er3Hg8 from the Alexandria database. Energies are from PBE-GGA.

a = 5.0221 Å, b = 5.0221 Å, c = 12.2970 Å
α = 78.22°, β = 78.22°, γ = 60.00°
With the nearest neighbours (Å) after each atom.
Fractional coordinates of all 11 atoms:
1 Er 0.0000 0.0000 0.0000  8 Hg 3.08-3.12
2 Er 0.5495 0.5495 0.3514  7 Hg 3.09-3.29
3 Er 0.4505 0.4505 0.6486  7 Hg 3.09-3.29
4 Hg 0.6378 0.6378 0.0865  4 Er 3.08-3.17, 4 Hg 3.14-3.27
5 Hg 0.3622 0.3622 0.9135  4 Er 3.08-3.17, 4 Hg 3.14-3.27
6 Hg 0.7289 0.7289 0.8132  7 Hg 3.03-3.27
7 Hg 0.2711 0.2711 0.1868  7 Hg 3.03-3.27
8 Hg 0.8270 0.8270 0.5191  4 Hg 2.94-3.08, 3 Er 3.29
9 Hg 0.1730 0.1730 0.4809  4 Hg 2.94-3.08, 3 Er 3.29
10 Hg 0.9129 0.9129 0.2614  4 Hg 3.03-3.08, 4 Er 3.09-3.12
11 Hg 0.0871 0.0871 0.7386  4 Hg 3.03-3.08, 4 Er 3.09-3.12

SG = R-3m (166)
ΔE_f = -294 meV per atom
DOS(E_F) = 0.56 states/eV/atom


Q: Which of these has the lowest ΔE_f?
A: Er2Hg


Q: Which of these has the highest DOS(E_F)?
A: Er3Hg8


Q: ΔE_f of number 1 (Er2Hg)?
A: -316 meV per atom